CaTlTc2: optimized geometry, GGA-PBEsol.

abc: 5.4904 5.4904 5.4904
angles: 143.56 131.26 62.35
Element x y z (fractional)
Ca 0.0000 0.0000 0.0000
Tl 0.5000 0.5000 0.0000
Tc 0.2560 0.7560 0.5000
Tc 0.7440 0.2440 0.5000

- crystal system = orthorhombic
- space-group type = Immm, No. 71
- spin magnetization (Bohr magnetons per cell) = 0.0
- E_form (eV per atom) = 0.76


CaTl2Tc: optimized geometry, GGA-PBEsol.

abc: 5.8681 5.8681 5.8681
angles: 144.02 132.47 61.03
Element x y z (fractional)
Ca 0.0000 0.0000 0.0000
Tl 0.4502 0.4502 0.0000
Tl 0.7219 0.2219 0.5000
Tc 0.2370 0.7370 0.5000

- crystal system = orthorhombic
- space-group type = Imm2, No. 44
- spin magnetization (Bohr magnetons per cell) = 0.0
- E_form (eV per atom) = 0.37